[1]
# Tb6NdDy3Sc2 (PBE, optimized geometry)
data_Tb6NdDy3Sc2
_chemical_formula_sum 'Tb12 Nd2 Dy6 Sc4'
_space_group_name_H-M_alt 'C 1 2/m 1'
_space_group_IT_number 12
_cell_length_a 6.094
_cell_length_b 10.547
_cell_length_c 11.651
_cell_angle_alpha 90.00
_cell_angle_beta 99.98
_cell_angle_gamma 90.00
loop_
_space_group_symop_operation_xyz
'x,y,z'
'-x,-y,-z'
'-x,y,-z'
'x,-y,z'
'x+1/2,y+1/2,z'
'-x+1/2,-y+1/2,-z'
'-x+1/2,y+1/2,-z'
'x+1/2,-y+1/2,z'
loop_
_atom_site_label
_atom_site_fract_x
_atom_site_fract_y
_atom_site_fract_z
Tb1 0.246 0.000 0.247
Tb2 0.249 0.168 0.753
Nd1 0.000 0.500 0.000
Dy1 0.000 0.000 0.500
Dy2 0.000 0.333 0.500
Sc1 0.000 0.167 0.000
# - Energy relative to the elements: 35 meV/atom
# - Size of the total moment: 0.00 μB/f.u.
# - Total energy: -4.88 eV per atom

***

[2]
# AgAsRu3 (PBE, optimized geometry)
data_AgAsRu3
_chemical_formula_sum 'Ag1 As1 Ru3'
_space_group_name_H-M_alt 'P m -3 m'
_space_group_IT_number 221
_space_group_name_Hall '-P 4 2 3'
_cell_length_a 4.831
_cell_length_b 4.831
_cell_length_c 4.831
_cell_angle_alpha 90.00
_cell_angle_beta 90.00
_cell_angle_gamma 90.00
loop_
_atom_site_label
_atom_site_fract_x
_atom_site_fract_y
_atom_site_fract_z
Ag1 0.000 0.000 0.000
As1 0.500 0.500 0.500
Ru1 0.000 0.000 0.500
# - Energy relative to the elements: 2318 meV/atom
# - Size of the total moment: 6.57 μB/f.u.
# - Total energy: -4.75 eV per atom

***

[3]
# LaSc2CoB (PBE, optimized geometry)
data_LaSc2CoB
_chemical_formula_sum 'La1 Sc2 Co1 B1'
_space_group_name_H-M_alt 'P 4/m m m'
_space_group_IT_number 123
_space_group_name_Hall '-P 4 2'
_cell_length_a 5.162
_cell_length_b 5.162
_cell_length_c 4.342
_cell_angle_alpha 90.00
_cell_angle_beta 90.00
_cell_angle_gamma 90.00
loop_
_atom_site_label
_atom_site_fract_x
_atom_site_fract_y
_atom_site_fract_z
La1 0.000 0.000 0.000
Sc1 0.000 0.500 0.000
Co1 0.000 0.000 0.500
B1 0.500 0.500 0.500
# - Energy relative to the elements: 1776 meV/atom
# - Size of the total moment: 0.00 μB/f.u.
# - Total energy: -4.50 eV per atom

***

[4]
# K2MnI2Cl4 (PBE, optimized geometry)
data_K2MnI2Cl4
_chemical_formula_sum 'K4 Mn2 I4 Cl8'
_space_group_name_H-M_alt 'I 4/m m m'
_space_group_IT_number 139
_space_group_name_Hall '-I 4 2'
_cell_length_a 7.452
_cell_length_b 7.452
_cell_length_c 10.348
_cell_angle_alpha 90.00
_cell_angle_beta 90.00
_cell_angle_gamma 90.00
loop_
_atom_site_label
_atom_site_fract_x
_atom_site_fract_y
_atom_site_fract_z
K1 0.000 0.500 0.250
Mn1 0.000 0.000 0.000
I1 0.000 0.000 0.264
Cl1 0.216 0.216 0.000
# - Size of the total moment: 3.00 μB/f.u.
# - Total energy: -3.61 eV per atom

***

[5]
# CdAsPd (PBE, optimized geometry)
data_CdAsPd
_chemical_formula_sum 'Cd4 As4 Pd4'
_space_group_name_H-M_alt 'A m m 2'
_space_group_IT_number 38
_cell_length_a 12.744
_cell_length_b 4.298
_cell_length_c 4.271
_cell_angle_alpha 90.00
_cell_angle_beta 90.00
_cell_angle_gamma 90.00
loop_
_space_group_symop_operation_xyz
'x,y,z'
'-x,-y,z'
'-x,y,z'
'x,-y,z'
'x,y+1/2,z+1/2'
'-x,-y+1/2,z+1/2'
'-x,y+1/2,z+1/2'
'x,-y+1/2,z+1/2'
loop_
_atom_site_label
_atom_site_fract_x
_atom_site_fract_y
_atom_site_fract_z
Cd1 0.149 0.000 0.000
As1 0.368 0.000 0.004
Pd1 0.000 0.000 0.500
Pd2 0.500 0.000 0.504
# - Energy relative to the elements: -171 meV/atom
# - Size of the total moment: 0.00 μB/f.u.
# - Total energy: -3.76 eV per atom

***

[6]
# Cu2AgF8 (PBE, optimized geometry)
data_Cu2AgF8
_chemical_formula_sum 'Cu4 Ag2 F16'
_space_group_name_H-M_alt 'I 4 2 2'
_space_group_IT_number 97
_space_group_name_Hall 'I 4 2'
_cell_length_a 5.399
_cell_length_b 5.399
_cell_length_c 10.259
_cell_angle_alpha 90.00
_cell_angle_beta 90.00
_cell_angle_gamma 90.00
loop_
_atom_site_label
_atom_site_fract_x
_atom_site_fract_y
_atom_site_fract_z
Cu1 0.000 0.500 0.250
Ag1 0.000 0.000 0.000
F1 0.160 0.323 0.872
# - Size of the total moment: 1.11 μB/f.u.
# - Total energy: -3.60 eV per atom